Record 1
This record from the Alexandria database describes an optimized crystal structure of NaSmAs2Pt4. The functional is PBE.

## Properties
ΔH_f (0 K) = -0.60 eV per atom
final energy = -44.299 eV for the cell shown
V = 21.422 Å³ per atom
DOS(E_F) = 3.098 states/eV/cell

Cell: 4.039 4.039 10.505 Å, 90.00 90.00 90.00°
Space group P4/mmm (No. 123)
Asymmetric unit:
Na 0.000 0.000 0.000 [1 per cell]
Sm 0.000 0.000 0.500 [1 per cell]
As 0.500 0.500 0.153 [2 per cell]
Pt 0.000 0.500 0.290 [4 per cell]



Record 2
This record from the Alexandria database describes an optimized crystal structure of Li3MoOs. The functional is PBE.

## Properties
ΔH_f (0 K) = 1.74 eV per atom
final energy = -19.108 eV for the cell shown
V = 16.097 Å³ per atom
DOS(E_F) = 7.173 states/eV/cell

Cell: 4.318 4.318 4.318 Å, 90.00 90.00 90.00°
Space group Pm-3m (No. 221)
Asymmetric unit:
Li 0.000 0.000 0.500 [3 per cell]
Mo 0.500 0.500 0.500 [1 per cell]
Os 0.000 0.000 0.000 [1 per cell]



Record 3
This record from the Alexandria database describes an optimized crystal structure of TePPtN2. The functional is PBE.

## Properties
final energy = -25.121 eV for the cell shown
uncorrected formation energy = 1.2245 eV/atom
V = 24.646 Å³ per atom
DOS(E_F) = 4.566 states/eV/cell

Cell: 3.762 3.762 8.706 Å, 90.00 90.00 90.00°
Space group P4/mmm (No. 123)
Asymmetric unit:
Te 0.000 0.000 0.000 [1 per cell]
P 0.500 0.500 0.000 [1 per cell]
Pt 0.000 0.000 0.500 [1 per cell]
N 0.000 0.500 0.500 [2 per cell]



Record 4
This record from the Alexandria database describes an optimized crystal structure of Nd4SbP2N. The functional is PBE.

## Properties
final energy = -211.485 eV for the cell shown
uncorrected formation energy = -1.3165 eV/atom
V = 26.845 Å³ per atom
DOS(E_F) = 4.227 states/eV/cell

Cell: 4.116 14.419 14.475 Å, 90.00 90.00 90.00°
Space group Cmcm (No. 63)
Asymmetric unit:
Nd 0.000 0.000 0.000 [4 per cell]
Nd 0.000 0.256 0.123 [8 per cell]
Nd 0.000 0.423 0.750 [4 per cell]
Sb 0.000 0.104 0.750 [4 per cell]
P 0.000 0.369 0.551 [8 per cell]
N 0.000 0.163 0.250 [4 per cell]



Record 5
This record from the Alexandria database describes an optimized crystal structure of BeAs2W. The functional is PBE.

## Properties
ΔH_f (0 K) = 0.51 eV per atom
final energy = -23.919 eV for the cell shown
V = 14.860 Å³ per atom
DOS(E_F) = 2.370 states/eV/cell

Cell: 4.296 4.296 3.220 Å, 90.00 90.00 90.00°
Space group P4/mmm (No. 123)
Asymmetric unit:
Be 0.000 0.000 0.000 [1 per cell]
As 0.000 0.500 0.500 [2 per cell]
W 0.500 0.500 0.000 [1 per cell]



Record 6
This record from the Alexandria database describes an optimized crystal structure of TiZn5Cu6. The functional is PBE.

## Properties
ΔH_f (0 K) = -0.08 eV per atom
final energy = -39.787 eV for the cell shown
V = 13.287 Å³ per atom
DOS(E_F) = 3.858 states/eV/cell

Cell: 4.246 5.938 6.621 Å, 90.00 107.22 90.00°
Space group P2/m (No. 10)
Asymmetric unit:
Ti 0.000 0.000 0.000 [1 per cell]
Zn 0.000 0.500 0.000 [1 per cell]
Zn 0.345 0.500 0.673 [2 per cell]
Zn 0.346 0.000 0.675 [2 per cell]
Cu 0.162 0.253 0.341 [4 per cell]
Cu 0.500 0.255 0.000 [2 per cell]